(1)
Below is a relaxed KCa4Mg crystal, with properties calculated at the PBE-GGA level.

Cell lengths 7.2586, 7.2586, 7.2586 Å; angles 60.00, 60.00, 60.00 degrees
Sites, in units of the cell vectors:
Ca: 0.3742 0.3742 0.3742
Ca: 0.8773 0.3742 0.3742
Ca: 0.3742 0.8773 0.3742
Ca: 0.3742 0.3742 0.8773
K: 0.7500 0.7500 0.7500
Mg: 0.0000 0.0000 0.0000

As for the space group: F-43m, No. 216. The formation energy is 263.8 meV/atom.


(2)
Below is a relaxed KCaMg2 crystal, with properties calculated at the PBE-GGA level.

Cell lengths 4.3547, 3.9777, 9.5111 Å; angles 65.01, 90.00, 90.00 degrees
Sites, in units of the cell vectors:
Mg: 0.0000 0.9488 0.0533
Mg: 0.0000 0.5512 0.4467
Ca: 0.5000 0.2500 0.2500
K: 0.5000 0.7500 0.7500

As for the space group: P2/m, No. 10. As for the energy above the most stable polymorph in this dataset: 1 meV per atom. The formation energy is 99.7 meV/atom.


(3)
Below is a relaxed KCaMg2 crystal, with properties calculated at the PBE-GGA level.

Cell lengths 7.1430, 7.1430, 7.1430 Å; angles 149.15, 129.52, 60.34 degrees
Sites, in units of the cell vectors:
K: 0.2329 0.7329 0.5000
Mg: 0.7720 0.2720 0.5000
Mg: 0.9694 0.9694 0.0000
Ca: 0.5257 0.5257 0.0000

As for the space group: Imm2, No. 44. As for the energy above the most stable polymorph in this dataset: 42 meV per atom. The formation energy is 140.5 meV/atom.


(4)
Below is a relaxed K2CaMg2 crystal, with properties calculated at the PBE-GGA level.

Cell lengths 4.1858, 4.1858, 13.5662 Å; angles 81.13, 81.13, 90.00 degrees
Sites, in units of the cell vectors:
K: 0.3761 0.3761 0.2478
K: 0.6239 0.6239 0.7522
Ca: 0.0000 0.0000 0.0000
Mg: 0.7500 0.2500 0.5000
Mg: 0.2500 0.7500 0.5000

As for the space group: I4/mmm, No. 139. As for the energy above the most stable polymorph in this dataset: 44 meV per atom. The formation energy is 253.5 meV/atom.


(5)
Below is a relaxed KCaMg2 crystal, with properties calculated at the PBE-GGA level.

Cell lengths 3.7831, 3.7816, 10.2055 Å; angles 90.00, 90.00, 90.00 degrees
Sites, in units of the cell vectors:
Ca: 0.0000 0.0000 0.4326
K: 0.5000 0.5000 0.7840
Mg: 0.5000 0.5000 0.2200
Mg: 0.0000 0.0000 0.0634

As for the space group: P4mm, No. 99. As for the energy above the most stable polymorph in this dataset: 0 meV per atom. The formation energy is 98.9 meV/atom.


(6)
Below is a relaxed KCaMg3 crystal, with properties calculated at the PBE-GGA level.

Cell lengths 5.9221, 5.9221, 5.9221 Å; angles 90.00, 90.00, 90.00 degrees
Sites, in units of the cell vectors:
Mg: 0.0000 0.5000 0.0000
Mg: 0.5000 0.0000 0.0000
Mg: 0.0000 0.0000 0.5000
Ca: 0.5000 0.5000 0.5000
K: 0.0000 0.0000 0.0000

As for the space group: Pm-3m, No. 221. As for the energy above the most stable polymorph in this dataset: 210 meV per atom. The formation energy is 765.1 meV/atom.


Calculated density of states at the Fermi level (states/eV/cell), listed in the same order as above: 6.94, 3.01, 3.70, 4.74, 2.90, 3.55